(1)
# LiTiNb2Ir

A crystal of LiTiNb2Ir relaxed with PBEsol (meta-GGA SCAN, Alexandria via LeMat-Bulk).

POSCAR file:
```
LiTiNb2Ir
1.0
4.3362 0.0000 0.0000
0.0000 4.3362 0.0000
0.0000 0.0000 4.0815
Li Ti Nb Ir
1 1 2 1
direct
0.0000 0.0000 0.0000 Li
0.0000 0.0000 0.5000 Ti
0.0000 0.5000 0.0000 Nb
0.5000 0.0000 0.0000 Nb
0.5000 0.5000 0.5000 Ir
```

Values from the calculation:
formation energy from the elements = 0.8030 eV/atom
space-group type = P4/mmm, No. 123
calculated volume = 15.349 Å³ per atom

(2)
# Sr3MnFeO7

A crystal of Sr3MnFeO7 relaxed with PBEsol (meta-GGA SCAN, Alexandria via LeMat-Bulk).

POSCAR file:
```
Sr3MnFeO7
1.0
-1.9040 1.9040 9.9136
1.9040 -1.9040 9.9136
1.9040 1.9040 -9.9136
Sr Mn Fe O
3 1 1 7
direct
0.0000 0.0000 0.0000 Sr
0.1821 0.1821 0.0000 Sr
0.8175 0.8175 0.0000 Sr
0.4020 0.4020 0.0000 Mn
0.5961 0.5961 0.0000 Fe
0.0960 0.5960 0.5000 O
0.3076 0.3076 0.0000 O
0.4054 0.9054 0.5000 O
0.5017 0.5017 0.0000 O
0.5960 0.0960 0.5000 O
0.6916 0.6916 0.0000 O
0.9054 0.4054 0.5000 O
```

Values from the calculation:
space-group type = I4mm, No. 107
calculated volume = 11.980 Å³ per atom
total DFT energy (no corrections) = -14.851 eV per atom

(3)
# Sr2Ca2NdMn5O15

A crystal of Sr2Ca2NdMn5O15 relaxed with PBEsol (meta-GGA SCAN, Alexandria via LeMat-Bulk).

POSCAR file:
```
Sr2Ca2NdMn5O15
1.0
5.3729 0.0000 0.0000
-2.4873 8.8383 0.0000
-2.6207 -2.3290 11.2785
Sr Ca Nd Mn O
4 4 2 10 30
direct
0.0000 0.0000 0.0000 Sr
0.1926 0.7964 0.5968 Sr
0.5992 0.4018 0.7990 Sr
0.7950 0.1979 0.3966 Sr
0.0992 0.8919 0.2951 Ca
0.3070 0.6976 0.8980 Ca
0.5001 0.4937 0.4959 Ca
0.7030 0.2951 0.0987 Ca
0.4007 0.5966 0.1976 Nd
0.8992 0.1008 0.6989 Nd
0.0502 0.4513 0.6481 Mn
0.1495 0.3496 0.9491 Mn
0.2478 0.2464 0.2480 Mn
0.3473 0.1488 0.5457 Mn
0.4485 0.0469 0.8497 Mn
0.5507 0.9490 0.1484 Mn
0.6460 0.8479 0.4469 Mn
0.7467 0.7469 0.7482 Mn
0.8501 0.6492 0.0475 Mn
0.9489 0.5477 0.3483 Mn
0.0560 0.4869 0.4932 O
0.0675 0.4183 0.8052 O
0.0896 0.9071 0.7887 O
0.0909 0.4102 0.2690 O
0.1999 0.2880 0.6227 O
0.2090 0.7871 0.1114 O
0.2599 0.2913 0.0957 O
0.2732 0.2265 0.4068 O
0.2811 0.2044 0.8722 O
0.2916 0.7022 0.3814 O
0.3818 0.0795 0.2207 O
0.3946 0.6020 0.7104 O
0.4437 0.0838 0.6930 O
0.4682 0.0211 0.0063 O
0.4679 0.9989 0.4690 O
0.4888 0.5107 0.9940 O
0.5977 0.8879 0.8222 O
0.6005 0.3984 0.3038 O
0.6520 0.8780 0.2913 O
0.6676 0.8244 0.6059 O
0.6861 0.8051 0.0729 O
0.7008 0.2943 0.5930 O
0.7865 0.6827 0.4198 O
0.8026 0.1965 0.9031 O
0.8542 0.6195 0.2048 O
0.8609 0.6869 0.8949 O
0.8654 0.5982 0.6687 O
0.8877 0.1099 0.1923 O
0.9906 0.0020 0.5092 O
0.9972 0.4845 0.0276 O
```

Values from the calculation:
space-group type = P1, No. 1
calculated volume = 10.712 Å³ per atom
total DFT energy (no corrections) = -14.457 eV per atom